Entry from the Alexandria database: a geometry-optimized Li3NiB2O6 structure (PBE+U).

Cell: 5.214 8.905 10.859 Å, 90.00 116.65 90.00°
Atoms (fractional coordinates):
1 Li 0.005 0.015 0.167
2 Li 0.005 0.485 0.667
3 Li 0.045 0.668 0.879
4 Li 0.045 0.832 0.379
5 Li 0.431 0.009 0.609
6 Li 0.431 0.491 0.109
7 Li 0.569 0.509 0.891
8 Li 0.569 0.991 0.391
9 Li 0.955 0.168 0.621
10 Li 0.955 0.332 0.121
11 Li 0.995 0.515 0.333
12 Li 0.995 0.985 0.833
13 Ni 0.471 0.677 0.624
14 Ni 0.471 0.823 0.124
15 Ni 0.529 0.177 0.876
16 Ni 0.529 0.323 0.376
17 B 0.051 0.173 0.380
18 B 0.051 0.327 0.880
19 B 0.474 0.159 0.131
20 B 0.474 0.341 0.631
21 B 0.526 0.659 0.369
22 B 0.526 0.841 0.869
23 B 0.949 0.673 0.120
24 B 0.949 0.827 0.620
25 O 0.133 0.189 0.848
26 O 0.133 0.311 0.348
27 O 0.183 0.671 0.091
28 O 0.183 0.829 0.591
29 O 0.193 0.043 0.382
30 O 0.193 0.457 0.882
31 O 0.318 0.660 0.414
32 O 0.318 0.840 0.914
33 O 0.363 0.024 0.151
34 O 0.363 0.476 0.651
35 O 0.371 0.212 0.664
36 O 0.371 0.288 0.164
37 O 0.629 0.712 0.836
38 O 0.629 0.788 0.336
39 O 0.637 0.524 0.349
40 O 0.637 0.976 0.849
41 O 0.682 0.160 0.086
42 O 0.682 0.340 0.586
43 O 0.807 0.543 0.118
44 O 0.807 0.957 0.618
45 O 0.817 0.171 0.409
46 O 0.817 0.329 0.909
47 O 0.867 0.689 0.652
48 O 0.867 0.811 0.152

Computed properties:
For the distance to the lowest polymorph of the same formula, the calculation gives 6 meV per atom. The density comes out at 2.91 g/cm³.